Below is a relaxed GeF crystal, with properties calculated at the PBE-GGA level.

Values from the calculation:
The size of the total moment comes out at 0.0 Bohr magnetons per cell. Its energy above the most stable polymorph in this dataset is 197.5 meV/atom. The value obtained for the uncorrected formation energy is -28.7 kcal/mol of atoms.

```
GeF
1.0
10.0366 0.0000 0.0000
0.0000 10.0366 0.0000
0.0000 0.0000 2.7172
Ge F
8 8
direct
0.0100 0.1952 0.0000
0.1952 0.9900 0.0000
0.2139 0.4735 0.5000
0.4735 0.7861 0.5000
0.5265 0.2139 0.5000
0.7861 0.5265 0.5000
0.8048 0.0100 0.0000
0.9900 0.8048 0.0000
0.0835 0.6251 0.0000
0.3406 0.6135 0.5000
0.3749 0.0835 0.0000
0.3865 0.3406 0.5000
0.6135 0.6594 0.5000
0.6251 0.9165 0.0000
0.6594 0.3865 0.5000
0.9165 0.3749 0.0000
```

Below is a relaxed GeF crystal, with properties calculated at the PBE-GGA level.

Values from the calculation:
The size of the total moment comes out at 0.3 Bohr magnetons per cell. Its energy above the most stable polymorph in this dataset is 750.5 meV/atom. The value obtained for the uncorrected formation energy is -16.0 kcal/mol of atoms.

```
GeF
1.0
-3.7026 3.7026 3.7026
3.7026 -3.7026 3.7026
3.7026 3.7026 -3.7026
Ge F
4 4
direct
0.0000 0.0000 0.4629
0.0000 0.4629 0.0000
0.4629 0.0000 0.0000
0.5371 0.5371 0.5371
0.0000 0.0000 0.7472
0.0000 0.7472 0.0000
0.2528 0.2528 0.2528
0.7472 0.0000 0.0000
```

Below is a relaxed GeF crystal, with properties calculated at the PBE-GGA level.

Values from the calculation:
The size of the total moment comes out at 0.0 Bohr magnetons per cell. Its energy above the most stable polymorph in this dataset is 59.2 meV/atom. The value obtained for the uncorrected formation energy is -31.9 kcal/mol of atoms.

```
GeF
1.0
3.8480 -2.2328 0.0000
3.8480 2.2328 0.0000
-2.5536 0.0000 3.8543
Ge F
2 2
direct
0.1896 0.1896 0.0677
0.8104 0.8104 0.9323
0.3473 0.3473 0.5434
0.6527 0.6527 0.4566
```